(1)
The following is a GGA-PBE calculation of a relaxed Pu5Ir2Ru2 crystal, from the Alexandria database.

Output
The crystal system is orthorhombic. Its formation energy is 0.03 eV/atom.

Lattice parameters (Å, degrees): 8.274 8.274 8.274 82.48 120.70 128.34
Sites, in units of the cell vectors:
Pu (0.126, 0.120, 0.246)
Pu (0.126, 0.380, 0.506)
Pu (0.187, 0.569, 0.904)
Pu (0.187, 0.782, 0.118)
Pu (0.639, 0.443, 0.695)
Pu (0.665, 0.069, 0.882)
Pu (0.665, 0.282, 0.096)
Pu (0.748, 0.943, 0.305)
Pu (0.874, 0.620, 0.494)
Pu (0.874, 0.880, 0.754)
Ir (0.245, 0.071, 0.674)
Ir (0.314, 0.314, 0.000)
Ir (0.314, 0.814, 0.500)
Ir (0.397, 0.571, 0.326)
Ru (0.523, 0.174, 0.336)
Ru (0.523, 0.687, 0.849)
Ru (0.839, 0.187, 0.664)
Ru (0.839, 0.674, 0.151)

(2)
The following is a GGA-PBE calculation of a relaxed KBe2P crystal, from the Alexandria database.

Output
The crystal system is trigonal. Its formation energy is 0.09 eV/atom.

Lattice parameters (Å, degrees): 6.741 6.741 6.741 30.92 30.92 30.92
Sites, in units of the cell vectors:
K (0.000, 0.000, 0.000)
Be (0.482, 0.482, 0.482)
Be (0.806, 0.806, 0.806)
P (0.198, 0.198, 0.198)

(3)
The following is a GGA-PBE calculation of a relaxed AsOsPb2 crystal, from the Alexandria database.

Output
The crystal system is tetragonal. Its formation energy is 0.97 eV/atom.

Lattice parameters (Å, degrees): 7.726 7.726 7.726 131.50 131.50 71.01
Sites, in units of the cell vectors:
As (0.000, 0.000, 0.000)
As (0.750, 0.250, 0.500)
Os (0.250, 0.750, 0.500)
Os (0.500, 0.500, 0.000)
Pb (0.148, 0.625, 0.023)
Pb (0.375, 0.398, 0.523)
Pb (0.602, 0.125, 0.977)
Pb (0.875, 0.852, 0.477)

(4)
The following is a GGA-PBE calculation of a relaxed Sm2Ho4Er7 crystal, from the Alexandria database.

Output
The crystal system is trigonal. Its formation energy is 0.19 eV/atom.

Lattice parameters (Å, degrees): 6.014 6.014 13.289 90.00 90.00 120.00
Sites, in units of the cell vectors:
Sm (0.333, 0.667, 0.000)
Sm (0.667, 0.333, 0.000)
Ho (0.000, 0.000, 0.395)
Ho (0.000, 0.000, 0.605)
Ho (0.333, 0.667, 0.500)
Ho (0.667, 0.333, 0.500)
Er (0.000, 0.000, 0.000)
Er (0.000, 0.351, 0.215)
Er (0.000, 0.649, 0.785)
Er (0.351, 0.000, 0.215)
Er (0.351, 0.351, 0.785)
Er (0.649, 0.000, 0.785)
Er (0.649, 0.649, 0.215)

(5)
The following is a GGA-PBE calculation of a relaxed LiSmPu crystal, from the Alexandria database.

Output
The crystal system is tetragonal. As for the distance to the lowest polymorph of the same formula: 0 meV/atom. Its formation energy is 0.25 eV/atom.

Lattice parameters (Å, degrees): 7.747 7.747 7.747 155.13 155.13 35.46
Sites, in units of the cell vectors:
Li (0.000, 0.000, 0.000)
Sm (0.666, 0.666, 0.000)
Pu (0.342, 0.342, 0.000)

(6)
The following is a GGA-PBE calculation of a relaxed CuTe2Br crystal, from the Alexandria database.

Output
The crystal system is tetragonal. The value obtained for the formation energy from raw total energies is 47.4 kJ/mol of atoms.

Lattice parameters (Å, degrees): 5.467 5.467 3.232 90.00 90.00 90.00
Sites, in units of the cell vectors:
Cu (0.000, 0.000, 0.000)
Te (0.000, 0.500, 0.500)
Te (0.500, 0.000, 0.500)
Br (0.500, 0.500, 0.000)

(7)
The following is a GGA-PBE calculation of a relaxed CsCu2O2 crystal, from the Alexandria database.

Output
The crystal system is monoclinic. As for the distance to the lowest polymorph of the same formula: 81 meV/atom. The value obtained for the formation energy from raw total energies is -66.9 kJ/mol of atoms.

Lattice parameters (Å, degrees): 8.068 8.068 5.508 101.42 101.42 136.65
Sites, in units of the cell vectors:
Cs (0.171, 0.829, 0.750)
Cs (0.829, 0.171, 0.250)
Cu (0.230, 0.321, 0.953)
Cu (0.321, 0.230, 0.453)
Cu (0.679, 0.770, 0.547)
Cu (0.770, 0.679, 0.047)
O (0.123, 0.877, 0.250)
O (0.465, 0.535, 0.750)
O (0.535, 0.465, 0.250)
O (0.877, 0.123, 0.750)

(8)
The following is a GGA-PBE calculation of a relaxed LiYHf2C crystal, from the Alexandria database.

Output
The crystal system is tetragonal. Its formation energy is -0.07 eV/atom.

Lattice parameters (Å, degrees): 4.503 4.503 4.999 90.00 90.00 90.00
Sites, in units of the cell vectors:
Li (0.000, 0.000, 0.000)
Y (0.500, 0.500, 0.000)
Hf (0.000, 0.500, 0.500)
Hf (0.500, 0.000, 0.500)
C (0.500, 0.500, 0.500)

no.,V (Å³/f.u.)
1,183.6
2,71.7
3,126.6
4,416.2
5,82.1
6,96.6
7,103.9
8,101.4